Compound: Sc2PbW
Source: Alexandria
Functional: PBEsol
Structure: optimized geometry

abc: 4.566 4.566 3.770
angles: 90.00 90.00 90.00
Positions (direct):
1 Sc 0.000 0.500 0.000
2 Sc 0.500 0.000 0.000
3 Pb 0.000 0.000 0.500
4 W 0.500 0.500 0.500

Results
Size of the total moment ... 0.0 μB per formula unit
SG ... P4/mmm, No. 123
D(E_F) ... 4.5 states/eV/f.u.
Energy of formation ... 0.086 eV/atom
Calculated total energy ... -7.6679 eV/atom

Compound: ScPb2W
Source: Alexandria
Functional: PBEsol
Structure: optimized geometry

abc: 5.769 5.769 5.150
angles: 101.44 101.44 30.91
Positions (direct):
1 Sc 0.000 0.000 0.000
2 Pb 0.538 0.538 0.531
3 Pb 0.761 0.761 0.221
4 W 0.288 0.288 0.743

Results
Size of the total moment ... 0.0 μB per formula unit
SG ... Cm, No. 8
D(E_F) ... 2.9 states/eV/f.u.
Energy of formation ... 0.469 eV/atom
Calculated total energy ... -6.6340 eV/atom

Compound: ScPb3W
Source: Alexandria
Functional: PBEsol
Structure: optimized geometry

abc: 5.380 5.380 5.380
angles: 90.00 90.00 90.00
Positions (direct):
1 Sc 0.000 0.000 0.000
2 Pb 0.000 0.000 0.500
3 Pb 0.000 0.500 0.000
4 Pb 0.500 0.000 0.000
5 W 0.500 0.500 0.500

Results
Size of the total moment ... 3.7 μB per formula unit
SG ... Pm-3m, No. 221
D(E_F) ... 3.6 states/eV/f.u.
Energy of formation ... 1.562 eV/atom
Calculated total energy ... -4.9196 eV/atom

Compound: Sc2PbW
Source: Alexandria
Functional: PBEsol
Structure: optimized geometry

abc: 3.076 5.000 5.213
angles: 90.00 90.00 90.00
Positions (direct):
1 Sc 0.000 0.000 0.000
2 Sc 0.000 0.500 0.381
3 Pb 0.500 0.000 0.518
4 W 0.500 0.500 0.888

Results
Size of the total moment ... 0.0 μB per formula unit
SG ... Pmm2, No. 25
D(E_F) ... 3.8 states/eV/f.u.
Energy of formation ... 0.109 eV/atom
Calculated total energy ... -7.6451 eV/atom

Compound: ScPbW2
Source: Alexandria
Functional: PBEsol
Structure: optimized geometry

abc: 3.569 3.569 5.925
angles: 90.00 90.00 90.00
Positions (direct):
1 Sc 0.000 0.000 0.000
2 Pb 0.000 0.000 0.500
3 W 0.500 0.500 0.212
4 W 0.500 0.500 0.788

Results
Size of the total moment ... 0.0 μB per formula unit
SG ... P4/mmm, No. 123
D(E_F) ... 4.5 states/eV/f.u.
Energy of formation ... 0.686 eV/atom
Calculated total energy ... -8.8683 eV/atom

Compound: ScPb2W
Source: Alexandria
Functional: PBEsol
Structure: optimized geometry

abc: 3.428 3.428 7.159
angles: 90.00 90.00 90.00
Positions (direct):
1 Sc 0.000 0.000 0.000
2 Pb 0.500 0.500 0.271
3 Pb 0.500 0.500 0.729
4 W 0.000 0.000 0.500

Results
Size of the total moment ... 0.6 μB per formula unit
SG ... P4/mmm, No. 123
D(E_F) ... 3.1 states/eV/f.u.
Energy of formation ... 0.459 eV/atom
Calculated total energy ... -6.6439 eV/atom

Compound: Sc2PbW
Source: Alexandria
Functional: PBEsol
Structure: optimized geometry

abc: 5.358 5.358 5.256
angles: 99.04 99.04 33.03
Positions (direct):
1 Sc 0.000 0.000 0.000
2 Sc 0.226 0.226 0.712
3 Pb 0.754 0.754 0.231
4 W 0.486 0.486 0.512

Results
Size of the total moment ... 0.0 μB per formula unit
SG ... Cm, No. 8
D(E_F) ... 4.0 states/eV/f.u.
Energy of formation ... 0.186 eV/atom
Calculated total energy ... -7.5676 eV/atom

Compound: ScPbW2
Source: Alexandria
Functional: PBEsol
Structure: optimized geometry

abc: 5.640 5.640 2.928
angles: 102.51 102.51 119.65
Positions (direct):
1 Sc 0.000 0.000 0.000
2 Pb 0.500 0.500 0.000
3 W 0.000 0.500 0.500
4 W 0.500 0.000 0.500

Results
Size of the total moment ... 0.0 μB per formula unit
SG ... C2/m, No. 12
D(E_F) ... 3.0 states/eV/f.u.
Energy of formation ... 0.567 eV/atom
Calculated total energy ... -8.9880 eV/atom

Among the records above, which one has the lowest energy of formation?
number 1